[1]
NdRh4O8: optimized geometry, PBE-GGA.

Properties
Formation energy from raw total energies   -1472 kJ/mol of formula units
Space group   R-3m, No. 166
M_tot   0.6 μB/f.u.
Calculated total energy   -6.853 eV per atom
V   179 Å³/cell

Cell lengths 6.259, 6.259, 6.406 Å; angles 60.76, 60.76, 60.00 degrees
Positions (direct):
O (0.769, 0.769, 0.194)
O (0.276, 0.276, 0.173)
O (0.732, 0.231, 0.806)
O (0.268, 0.769, 0.194)
O (0.724, 0.724, 0.827)
O (0.231, 0.231, 0.806)
O (0.231, 0.732, 0.806)
O (0.769, 0.268, 0.194)
Rh (0.500, 0.000, 0.000)
Rh (0.000, 0.500, 0.000)
Rh (0.000, 0.000, 0.000)
Rh (0.500, 0.500, 0.000)
Nd (0.500, 0.500, 0.500)



[2]
Nd2RhO6: optimized geometry, PBE-GGA.

Properties
Formation energy from raw total energies   -1625 kJ/mol of formula units
Space group   Immm, No. 71
M_tot   0.8 μB/f.u.
Calculated total energy   -7.053 eV per atom
V   117 Å³/cell

Cell lengths 3.735, 5.565, 6.545 Å; angles 115.16, 106.58, 90.00 degrees
Positions (direct):
O (0.500, 0.203, 0.000)
O (0.147, 0.917, 0.295)
O (0.853, 0.622, 0.705)
O (0.147, 0.378, 0.295)
O (0.500, 0.797, 0.000)
O (0.853, 0.083, 0.705)
Nd (0.670, 0.670, 0.339)
Nd (0.330, 0.330, 0.661)
Rh (0.000, 0.000, 0.000)



[3]
Nd2Rh2O7: optimized geometry, PBE-GGA.

Properties
Formation energy from raw total energies   -2095 kJ/mol of formula units
Space group   Fd-3m, No. 227
M_tot   1.2 μB/f.u.
Calculated total energy   -7.333 eV per atom
V   285 Å³/cell

Cell lengths 7.386, 7.386, 7.386 Å; angles 60.00, 60.00, 60.00 degrees
Positions (direct):
O (0.043, 0.457, 0.043)
O (0.793, 0.207, 0.793)
O (0.207, 0.793, 0.207)
O (0.457, 0.457, 0.043)
O (0.457, 0.043, 0.043)
O (0.457, 0.043, 0.457)
O (0.207, 0.207, 0.793)
O (0.043, 0.457, 0.457)
O (0.793, 0.207, 0.207)
O (0.043, 0.043, 0.457)
O (0.500, 0.500, 0.500)
O (0.207, 0.793, 0.793)
O (0.750, 0.750, 0.750)
O (0.793, 0.793, 0.207)
Nd (0.625, 0.125, 0.625)
Nd (0.625, 0.625, 0.625)
Nd (0.625, 0.625, 0.125)
Nd (0.125, 0.625, 0.625)
Rh (0.125, 0.125, 0.125)
Rh (0.125, 0.625, 0.125)
Rh (0.625, 0.125, 0.125)
Rh (0.125, 0.125, 0.625)